# 1
# CoPtBr4, relaxed, DFT PBE-GGA
# Density: 6.22 g cm⁻³
# N(E_F): 1.686 states/eV per atom
data_CoPtBr4
_symmetry_space_group_name_H-M 'F -4 3 m'
_symmetry_Int_Tables_number 216
_symmetry_space_group_name_Hall 'F -4 2 3'
_cell_length_a 8.493
_cell_length_b 8.493
_cell_length_c 8.493
_cell_angle_alpha 90.00
_cell_angle_beta 90.00
_cell_angle_gamma 90.00
loop_
_atom_site_label
_atom_site_type_symbol
_atom_site_fract_x
_atom_site_fract_y
_atom_site_fract_z
Co1 Co 0.000 0.000 0.000
Pt1 Pt 0.250 0.250 0.750
Br1 Br 0.125 0.125 0.375

# 2
# CoPtBr2, relaxed, DFT PBE-GGA
# Density: 9.25 g cm⁻³
# N(E_F): 1.759 states/eV per atom
data_CoPtBr2
_symmetry_space_group_name_H-M 'R -3 m'
_symmetry_Int_Tables_number 166
_symmetry_space_group_name_Hall '-R 3 2"'
_cell_length_a 3.3647
_cell_length_b 3.3647
_cell_length_c 22.7419
_cell_angle_alpha 90.00
_cell_angle_beta 90.00
_cell_angle_gamma 120.00
loop_
_atom_site_label
_atom_site_type_symbol
_atom_site_fract_x
_atom_site_fract_y
_atom_site_fract_z
Co1 Co 0.0000 0.0000 0.0000
Pt1 Pt 0.0000 0.0000 0.5000
Br1 Br 0.0000 0.0000 0.2641

# 3
# CoPtBr2, relaxed, DFT PBE-GGA
# Density: 7.59 g cm⁻³
# N(E_F): 1.064 states/eV per atom
data_CoPtBr2
_symmetry_space_group_name_H-M 'R 3 m'
_symmetry_Int_Tables_number 160
_symmetry_space_group_name_Hall 'R 3 -2"'
_cell_length_a 3.6691
_cell_length_b 3.6691
_cell_length_c 23.2918
_cell_angle_alpha 90.00
_cell_angle_beta 90.00
_cell_angle_gamma 120.00
loop_
_atom_site_label
_atom_site_type_symbol
_atom_site_fract_x
_atom_site_fract_y
_atom_site_fract_z
Co1 Co 0.0000 0.0000 0.0000
Pt1 Pt 0.0000 0.0000 0.7213
Br1 Br 0.0000 0.0000 0.2790
Br2 Br 0.0000 0.0000 0.4552

| no. | energy relative to the lowest polymorph listed for this composition (meV/atom) |
| --- | --- |
| 1 | 1596 |
| 2 | 467 |
| 3 | 0 |